*P*
Computed, not measured: V2Mo6W after structural relaxation at the PBE-GGA level of DFT.

* mass density: 10.23 Mg/m³
* total magnetization: 0.000 μB per formula unit
* density of states at the Fermi level: 6.01 states/eV/f.u.

Cell: 7.831 7.967 4.481 Å, 90.00 90.00 90.00°
Positions (direct):
V  0.164  0.236  0.000
V  0.336  0.736  0.500
V  0.664  0.264  0.500
V  0.836  0.764  0.000
Mo  0.002  0.668  0.500
Mo  0.164  0.569  0.000
Mo  0.167  0.902  0.000
Mo  0.333  0.402  0.500
Mo  0.336  0.069  0.500
Mo  0.498  0.168  0.000
Mo  0.502  0.832  0.000
Mo  0.664  0.931  0.500
Mo  0.667  0.598  0.500
Mo  0.833  0.098  0.000
Mo  0.836  0.431  0.000
Mo  0.998  0.332  0.500
W  0.000  0.000  0.500
W  0.500  0.500  0.000

=====

*Q*
Computed, not measured: V2Mo6W after structural relaxation at the PBE-GGA level of DFT.

* mass density: 10.19 Mg/m³
* total magnetization: 0.000 μB per formula unit
* density of states at the Fermi level: 7.36 states/eV/f.u.

Cell: 7.200 7.200 4.505 Å, 97.93 97.93 139.13°
Positions (direct):
V  0.159  0.841  0.000
V  0.841  0.159  0.000
Mo  0.169  0.500  0.672
Mo  0.332  0.332  0.167
Mo  0.500  0.169  0.672
Mo  0.500  0.831  0.328
Mo  0.668  0.668  0.833
Mo  0.831  0.500  0.328
W  0.000  0.000  0.500

=====

Stability summary - winner: *P*; margin: 0.041 eV/atom.

=====

*P*
Computed, not measured: V4MoW3 after structural relaxation at the PBE-GGA level of DFT.

* mass density: 12.08 Mg/m³
* total magnetization: 0.000 μB per formula unit
* density of states at the Fermi level: 7.37 states/eV/f.u.

Cell: 3.087 4.355 8.707 Å, 90.00 90.00 90.00°
Positions (direct):
V  0.000  0.000  0.000
V  0.000  0.000  0.500
V  0.000  0.500  0.249
V  0.000  0.500  0.751
Mo  0.500  0.500  0.000
W  0.500  0.000  0.250
W  0.500  0.000  0.750
W  0.500  0.500  0.500

=====

*Q*
Computed, not measured: V4MoW3 after structural relaxation at the PBE-GGA level of DFT.

* mass density: 11.67 Mg/m³
* total magnetization: 0.000 μB per formula unit
* density of states at the Fermi level: 9.11 states/eV/f.u.

Cell: 17.899 3.040 4.451 Å, 90.00 90.10 90.00°
Positions (direct):
V  0.127  0.000  0.251
V  0.128  0.500  0.749
V  0.372  0.000  0.251
V  0.373  0.500  0.749
V  0.627  0.500  0.251
V  0.628  0.000  0.749
V  0.872  0.500  0.251
V  0.873  0.000  0.749
Mo  0.000  0.000  0.000
Mo  0.500  0.500  0.000
W  0.000  0.500  0.500
W  0.250  0.000  0.750
W  0.250  0.500  0.250
W  0.500  0.000  0.500
W  0.750  0.000  0.250
W  0.750  0.500  0.750

=====

Stability summary - winner: *P*; margin: 0.234 eV/atom.